Material: SmTm2Fe9
Method: DFT, PBE-GGA
State: relaxed

Properties
The calculated volume is 180 Å³/f.u. As for the calculated total energy: -7.57 eV/atom.

Cell: 5.0849 5.0849 24.0874 Å, 90.00 90.00 120.00°
Last column: nearest neighbours and their distance in Å.
Space group R-3m (No. 166, hexagonal axes)
Inequivalent atoms, fractional coordinates:
Sm 0.0000 0.0000 0.0000 x3  18 Fe 2.94-3.23
Tm 0.0000 0.0000 0.1423 x6  12 Fe 2.92-2.99, 3 Tm 3.16
Fe 0.0000 0.0000 0.3328 x6  6 Fe 2.47-2.49
Fe 0.0000 0.0000 0.5000 x3  6 Fe 2.50
Fe 0.9998 0.4999 0.0828 x18  7 Fe 2.47-2.54